{
  "formula": "Cs5OsS5",
  "functional": "PBE",
  "state": "relaxed",
  "lattice_angstrom": [[7.5873, -3.1694, 0.0000], [7.5873, 3.1694, 0.0000], [-3.2139, 0.0000, 8.5494]],
  "species": ["Cs", "Cs", "Cs", "Cs", "Cs", "Os", "S", "S", "S", "S", "S"],
  "frac_coords": [[0.0000, 0.0000, 0.0000], [0.3033, 0.3033, 0.2104], [0.3401, 0.3401, 0.6783], [0.6599, 0.6599, 0.3217], [0.6967, 0.6967, 0.7896], [0.0000, 0.0000, 0.5000], [0.1171, 0.1171, 0.7531], [0.1193, 0.1193, 0.3912], [0.5000, 0.5000, 0.5000], [0.8807, 0.8807, 0.6088], [0.8829, 0.8829, 0.2469]],
  "total_energy_ev_per_atom": -3.8198,
  "dos_at_fermi_per_ev_cell": 6.04,
  "total_magnetization_mub_per_atom": 0.23,
  "formation_energy_uncorrected_ev_per_atom": -0.5348
}


{
  "formula": "MoHRh2",
  "functional": "PBE",
  "state": "relaxed",
  "lattice_angstrom": [[-3.0811, 3.0811, 2.5344], [3.0811, -3.0811, 2.5344], [3.0811, 3.0811, -2.5344]],
  "species": ["Mo", "Mo", "H", "H", "Rh", "Rh", "Rh", "Rh"],
  "frac_coords": [[0.0000, 0.0000, 0.0000], [0.7500, 0.2500, 0.5000], [0.2500, 0.7500, 0.5000], [0.5000, 0.5000, 0.0000], [0.2249, 0.1250, 0.5999], [0.3750, 0.7751, 0.9001], [0.5251, 0.6250, 0.4001], [0.8750, 0.4749, 0.0999]],
  "total_energy_ev_per_atom": -7.1110,
  "dos_at_fermi_per_ev_cell": 6.77,
  "total_magnetization_mub_per_atom": 0.00
}


{
  "formula": "KZn2BP",
  "functional": "PBE",
  "state": "relaxed",
  "lattice_angstrom": [[4.2475, 0.0000, 0.0000], [0.0000, 4.2475, 0.0000], [0.0000, 0.0000, 5.0320]],
  "species": ["K", "Zn", "Zn", "B", "P"],
  "frac_coords": [[0.0000, 0.0000, 0.0000], [0.0000, 0.5000, 0.5000], [0.5000, 0.0000, 0.5000], [0.5000, 0.5000, 0.5000], [0.5000, 0.5000, 0.0000]],
  "total_energy_ev_per_atom": -2.6793,
  "dos_at_fermi_per_ev_cell": 2.40,
  "formation_enthalpy_0k_ev_per_atom": 0.467,
  "total_magnetization_mub_per_atom": 0.00
}


{
  "formula": "LaAlGaP2",
  "functional": "PBE",
  "state": "relaxed",
  "lattice_angstrom": [[5.4581, 0.0000, 0.0000], [0.0000, 5.4581, 0.0000], [0.0000, 0.0000, 5.8700]],
  "species": ["La", "Al", "Ga", "P", "P"],
  "frac_coords": [[0.0000, 0.0000, 0.0000], [0.5000, 0.5000, 0.5000], [0.0000, 0.0000, 0.5000], [0.0000, 0.5000, 0.0000], [0.5000, 0.0000, 0.0000]],
  "total_energy_ev_per_atom": -3.7185,
  "dos_at_fermi_per_ev_cell": 5.78,
  "formation_enthalpy_0k_ev_per_atom": 0.785,
  "total_magnetization_mub_per_atom": 0.00
}